# 1
Entry from the Alexandria database: a relaxed structure of ZnSe3O (PBEsol).

abc: 4.433 4.433 4.433
angles: 90.00 90.00 90.00
Sites, in units of the cell vectors:
Zn1 0.500 0.500 0.500
O1 0.000 0.000 0.000
Se1 0.000 0.500 0.000
Se2 0.000 0.000 0.500
Se3 0.500 0.000 0.000

Properties
M_tot   0.00 μB per formula unit
Formation energy from raw total energies   0.3965 eV/atom
VASP energy   -16.4 eV/cell

=====

# 2
Entry from the Alexandria database: a relaxed structure of Tb2ZrS5 (PBEsol).

abc: 7.165 7.689 11.386
angles: 90.00 90.00 90.00
Sites, in units of the cell vectors:
Tb1 0.474 0.502 0.322
Tb2 0.026 0.998 0.822
Tb3 0.526 0.002 0.678
Tb4 0.974 0.498 0.178
Tb5 0.526 0.498 0.678
Tb6 0.974 0.002 0.178
Tb7 0.474 0.998 0.322
Tb8 0.026 0.502 0.822
Zr1 0.921 0.250 0.492
Zr2 0.579 0.250 0.992
Zr3 0.079 0.750 0.508
Zr4 0.421 0.750 0.008
S1 0.164 0.040 0.593
S2 0.336 0.460 0.093
S3 0.836 0.540 0.407
S4 0.664 0.960 0.907
S5 0.836 0.960 0.407
S6 0.664 0.540 0.907
S7 0.164 0.460 0.593
S8 0.336 0.040 0.093
S9 0.168 0.250 0.317
S10 0.332 0.250 0.817
S11 0.832 0.750 0.683
S12 0.668 0.750 0.183
S13 0.549 0.250 0.497
S14 0.951 0.250 0.997
S15 0.451 0.750 0.503
S16 0.049 0.750 0.003
S17 0.811 0.250 0.710
S18 0.689 0.250 0.210
S19 0.189 0.750 0.290
S20 0.311 0.750 0.790

Properties
M_tot   0.00 μB per formula unit
Formation energy from raw total energies   -1.9752 eV/atom
VASP energy   -227.3 eV/cell

=====

# 3
Entry from the Alexandria database: a relaxed structure of BaNb4Bi4PbO18 (PBEsol).

abc: 5.587 5.618 12.681
angles: 102.80 90.00 90.00
Sites, in units of the cell vectors:
Ba1 0.500 0.246 0.000
Nb1 0.500 0.828 0.174
Nb2 0.000 0.332 0.175
Nb3 0.000 0.157 0.825
Nb4 0.500 0.655 0.826
Bi1 0.500 0.485 0.403
Bi2 0.000 0.907 0.402
Bi3 0.000 0.506 0.598
Bi4 0.500 0.082 0.597
Pb1 0.000 0.738 0.000
O1 0.500 0.780 0.000
O2 0.000 0.217 0.000
O3 0.744 0.098 0.177
O4 0.256 0.098 0.177
O5 0.744 0.921 0.823
O6 0.256 0.921 0.823
O7 0.750 0.244 0.494
O8 0.250 0.244 0.494
O9 0.750 0.751 0.506
O10 0.250 0.751 0.506
O11 0.757 0.439 0.856
O12 0.243 0.439 0.856
O13 0.757 0.583 0.144
O14 0.243 0.583 0.144
O15 0.500 0.836 0.323
O16 0.000 0.485 0.323
O17 0.000 0.161 0.677
O18 0.500 0.513 0.677

Properties
M_tot   0.00 μB per formula unit
Formation energy from raw total energies   -2.0701 eV/atom
VASP energy   -219.0 eV/cell